{"formula": "CoCuHg3", "functional": "PBE-GGA", "state": "optimized geometry", "energy_ev_per_atom": -1.708, "de_polymorph_mev_per_atom": 0, "formation_enthalpy_0k_kcal_per_mol_atoms": 16.44, "crystal_system": "cubic", "density_kg_m3": 9621, "lattice_angstrom": [[5.0000, 0.0000, 0.0000], [0.0000, 5.0000, 0.0000], [0.0000, 0.0000, 5.0000]], "species": ["Co", "Cu", "Hg", "Hg", "Hg"], "frac_coords": [[0.0000, 0.0000, 0.0000], [0.5000, 0.5000, 0.5000], [0.0000, 0.0000, 0.5000], [0.0000, 0.5000, 0.0000], [0.5000, 0.0000, 0.0000]]}

{"formula": "La2Pr4Y", "functional": "PBE-GGA", "state": "optimized geometry", "energy_ev_per_atom": -4.890, "de_polymorph_mev_per_atom": 165, "formation_enthalpy_0k_kcal_per_mol_atoms": 3.97, "crystal_system": "triclinic", "density_kg_m3": 5928, "lattice_angstrom": [[7.1170, 0.0000, 0.0000], [2.0800, 6.8295, 0.0000], [0.0016, 0.0014, 10.7231]], "species": ["La", "La", "La", "La", "Pr", "Pr", "Pr", "Pr", "Pr", "Pr", "Pr", "Pr", "Y", "Y"], "frac_coords": [[0.0000, 0.0000, 0.0000], [0.0000, 0.0000, 0.5000], [0.0000, 0.5000, 0.0000], [0.5000, 0.0000, 0.0000], [0.1873, 0.2769, 0.2908], [0.1880, 0.2753, 0.7099], [0.3145, 0.7320, 0.7803], [0.3140, 0.7333, 0.2200], [0.6860, 0.2667, 0.7800], [0.6855, 0.2680, 0.2197], [0.8120, 0.7247, 0.2901], [0.8127, 0.7231, 0.7092], [0.5000, 0.0000, 0.5000], [0.5000, 0.5000, 0.5000]]}

{"formula": "Na2ZnP2", "functional": "PBE-GGA", "state": "optimized geometry", "energy_ev_per_atom": -2.602, "de_polymorph_mev_per_atom": 602, "formation_enthalpy_0k_kcal_per_mol_atoms": 7.93, "crystal_system": "tetragonal", "density_kg_m3": 2586, "lattice_angstrom": [[2.9018, 0.0000, 0.0000], [0.0000, 2.9018, 0.0000], [0.0000, 0.0000, 13.2166]], "species": ["Na", "Na", "Zn", "P", "P"], "frac_coords": [[0.0000, 0.0000, 0.1206], [0.0000, 0.0000, 0.8794], [0.0000, 0.0000, 0.5000], [0.0000, 0.0000, 0.3283], [0.0000, 0.0000, 0.6717]]}

What did the second record say?
{"formula": "La2Pr4Y", "functional": "PBE-GGA", "state": "optimized geometry", "energy_ev_per_atom": -4.890, "de_polymorph_mev_per_atom": 165, "formation_enthalpy_0k_kcal_per_mol_atoms": 3.97, "crystal_system": "triclinic", "density_kg_m3": 5928, "lattice_angstrom": [[7.1170, 0.0000, 0.0000], [2.0800, 6.8295, 0.0000], [0.0016, 0.0014, 10.7231]], "species": ["La", "La", "La", "La", "Pr", "Pr", "Pr", "Pr", "Pr", "Pr", "Pr", "Pr", "Y", "Y"], "frac_coords": [[0.0000, 0.0000, 0.0000], [0.0000, 0.0000, 0.5000], [0.0000, 0.5000, 0.0000], [0.5000, 0.0000, 0.0000], [0.1873, 0.2769, 0.2908], [0.1880, 0.2753, 0.7099], [0.3145, 0.7320, 0.7803], [0.3140, 0.7333, 0.2200], [0.6860, 0.2667, 0.7800], [0.6855, 0.2680, 0.2197], [0.8120, 0.7247, 0.2901], [0.8127, 0.7231, 0.7092], [0.5000, 0.0000, 0.5000], [0.5000, 0.5000, 0.5000]]}